Entry from the Alexandria database: crystalline In4Si5 at its relaxed geometry (PBE-GGA).

Output
spin magnetization: 0.0 μB/cell
uncorrected energy: -67.13 eV for the cell shown

```
data_In4Si5
_chemical_formula_sum 'In8 Si10'
_space_group_name_H-M_alt 'I 4/m m m'
_space_group_IT_number 139
_space_group_name_Hall '-I 4 2'
_cell_length_a 10.442
_cell_length_b 10.442
_cell_length_c 3.575
_cell_angle_alpha 90.00
_cell_angle_beta 90.00
_cell_angle_gamma 90.00
loop_
_atom_site_label
_atom_site_fract_x
_atom_site_fract_y
_atom_site_fract_z
_atom_site_occupancy
In1 0.000 0.298 0.000 1
Si1 0.000 0.000 0.000 1
Si2 0.193 0.193 0.500 1
```

---

Entry from the Alexandria database: crystalline Zn2Ag2Pb at its relaxed geometry (PBE-GGA).

Output
excess energy over the best structure of this formula in the dataset: 0 meV per atom
spin magnetization: 0.0 μB/cell
uncorrected energy: -23.36 eV for the cell shown

```
data_Zn2Ag2Pb
_chemical_formula_sum 'Zn4 Ag4 Pb2'
_space_group_name_H-M_alt 'P 4/m b m'
_space_group_IT_number 127
_space_group_name_Hall '-P 4 2ab'
_cell_length_a 7.969
_cell_length_b 7.969
_cell_length_c 3.066
_cell_angle_alpha 90.00
_cell_angle_beta 90.00
_cell_angle_gamma 90.00
loop_
_atom_site_label
_atom_site_fract_x
_atom_site_fract_y
_atom_site_fract_z
_atom_site_occupancy
Zn1 0.119 0.381 0.000 1
Ag1 0.175 0.675 0.500 1
Pb1 0.000 0.000 0.000 1
```

---

Among the records above, which one has the lowest uncorrected energy?
In4Si5

---

Repeat the second record exactly.
Entry from the Alexandria database: crystalline Zn2Ag2Pb at its relaxed geometry (PBE-GGA).

Output
excess energy over the best structure of this formula in the dataset: 0 meV per atom
spin magnetization: 0.0 μB/cell
uncorrected energy: -23.36 eV for the cell shown

```
data_Zn2Ag2Pb
_chemical_formula_sum 'Zn4 Ag4 Pb2'
_space_group_name_H-M_alt 'P 4/m b m'
_space_group_IT_number 127
_space_group_name_Hall '-P 4 2ab'
_cell_length_a 7.969
_cell_length_b 7.969
_cell_length_c 3.066
_cell_angle_alpha 90.00
_cell_angle_beta 90.00
_cell_angle_gamma 90.00
loop_
_atom_site_label
_atom_site_fract_x
_atom_site_fract_y
_atom_site_fract_z
_atom_site_occupancy
Zn1 0.119 0.381 0.000 1
Ag1 0.175 0.675 0.500 1
Pb1 0.000 0.000 0.000 1
```